# 1
Entry from OQMD via LeMat-Bulk: a relaxed ErSbIr crystal (PBE).

a b c (Å): 7.1142 4.4992 7.8999
angles (deg): 90.00 90.00 90.00
Positions (direct):
Er1 0.0103 0.2500 0.1923
Er2 0.4897 0.7500 0.6923
Er3 0.5103 0.2500 0.3077
Er4 0.9897 0.7500 0.8077
Sb1 0.1790 0.2500 0.5892
Sb2 0.3210 0.7500 0.0892
Sb3 0.6790 0.2500 0.9108
Sb4 0.8210 0.7500 0.4108
Ir1 0.2098 0.7500 0.4126
Ir2 0.2902 0.2500 0.9126
Ir3 0.7098 0.7500 0.0874
Ir4 0.7902 0.2500 0.5874

Properties
VASP energy	-80.79	eV/cell
symmetry	No. 62

# 2
Entry from OQMD via LeMat-Bulk: a relaxed ErSbIr crystal (PBE).

a b c (Å): 7.4138 7.4138 3.9652
angles (deg): 90.00 90.00 120.00
Positions (direct):
Er1 0.0000 0.6008 0.0000
Er2 0.3992 0.3992 0.0000
Er3 0.6008 0.0000 0.0000
Sb1 0.0000 0.2659 0.5000
Sb2 0.2659 0.0000 0.5000
Sb3 0.7341 0.7341 0.5000
Ir1 0.0000 0.0000 0.0000
Ir2 0.3333 0.6667 0.5000
Ir3 0.6667 0.3333 0.5000

Properties
VASP energy	-60.51	eV/cell
symmetry	No. 189

# 3
Entry from OQMD via LeMat-Bulk: a relaxed ErSb2Ir6 crystal (PBE).

a b c (Å): 7.7094 7.7094 2.9620
angles (deg): 90.00 90.00 120.00
Positions (direct):
Er1 0.0000 0.0000 0.0000
Sb1 0.3333 0.6667 0.5000
Sb2 0.6667 0.3333 0.5000
Ir1 0.0000 0.3138 0.5000
Ir2 0.0000 0.6426 0.0000
Ir3 0.3138 0.0000 0.5000
Ir4 0.3574 0.3574 0.0000
Ir5 0.6426 0.0000 0.0000
Ir6 0.6862 0.6862 0.5000

Properties
VASP energy	-64.51	eV/cell
symmetry	No. 189

# 4
Entry from OQMD via LeMat-Bulk: a relaxed ErSbIr crystal (PBE).

a b c (Å): 6.9620 6.9620 4.4162
angles (deg): 90.00 90.00 120.00
Positions (direct):
Er1 0.0000 0.5664 0.0000
Er2 0.4336 0.4336 0.0000
Er3 0.5664 0.0000 0.0000
Sb1 0.0000 0.0000 0.0000
Sb2 0.3333 0.6667 0.5000
Sb3 0.6667 0.3333 0.5000
Ir1 0.0000 0.2395 0.5000
Ir2 0.2395 0.0000 0.5000
Ir3 0.7605 0.7605 0.5000

Properties
VASP energy	-59.66	eV/cell
symmetry	No. 189

# 5
Entry from OQMD via LeMat-Bulk: a relaxed ErSbIr crystal (PBE).

a b c (Å): 8.1650 8.1650 3.2395
angles (deg): 90.00 90.00 120.00
Positions (direct):
Er1 0.0000 0.3000 0.0000
Er2 0.3000 0.0000 0.0000
Er3 0.7000 0.7000 0.0000
Sb1 0.0000 0.0000 0.5000
Sb2 0.3333 0.6667 0.0000
Sb3 0.6667 0.3333 0.0000
Ir1 0.0000 0.6458 0.5000
Ir2 0.3542 0.3542 0.5000
Ir3 0.6458 0.0000 0.5000

Properties
VASP energy	-55.12	eV/cell
symmetry	No. 189

# 6
Entry from OQMD via LeMat-Bulk: a relaxed ErScIr crystal (PBE).

a b c (Å): 4.5314 4.5314 4.5314
angles (deg): 60.00 60.00 60.00
Positions (direct):
Er1 0.0000 0.0000 0.0000
Sc1 0.2500 0.2500 0.2500
Ir1 0.5000 0.5000 0.5000

Properties
DFT formation energy	12	meV per atom
symmetry	No. 216

# 7
Entry from OQMD via LeMat-Bulk: a relaxed Er3Sc3Te2Ir crystal (PBE).

a b c (Å): 8.1016 8.1016 3.8374
angles (deg): 90.00 90.00 120.00
Positions (direct):
Er1 0.0000 0.7523 0.0000
Er2 0.2477 0.2477 0.0000
Er3 0.7523 0.0000 0.0000
Sc1 0.0000 0.3924 0.5000
Sc2 0.3924 0.0000 0.5000
Sc3 0.6076 0.6076 0.5000
Te1 0.3333 0.6667 0.0000
Te2 0.6667 0.3333 0.0000
Ir1 0.0000 0.0000 0.5000

Properties
relative energy among the computed polymorphs	105	meV per atom
symmetry	No. 189

# 8
Entry from OQMD via LeMat-Bulk: a relaxed Er3Sc3Te2Ir crystal (PBE).

a b c (Å): 7.9422 7.9422 3.9361
angles (deg): 90.00 90.00 120.00
Positions (direct):
Er1 0.0000 0.3891 0.0000
Er2 0.3891 0.0000 0.0000
Er3 0.6109 0.6109 0.0000
Sc1 0.0000 0.7648 0.5000
Sc2 0.2352 0.2352 0.5000
Sc3 0.7648 0.0000 0.5000
Te1 0.3333 0.6667 0.5000
Te2 0.6667 0.3333 0.5000
Ir1 0.0000 0.0000 0.0000

Properties
relative energy among the computed polymorphs	0	meV per atom
symmetry	No. 189